Record 1
PuNpO5 | PBE-GGA | optimized geometry

Properties
- SG: C2/c (15)
- Total magnetic moment: 5.00 μB/f.u.
- Formation energy without anion corrections: -2881 meV/atom

Cell: 5.718 5.718 7.933 Å, 69.93 69.93 71.75°
Site moments in Bohr magnetons follow the coordinates.
Fractional coordinates of all 14 atoms:
Pu: 0.000 0.000 0.500  3.72
Pu: 0.000 0.000 0.000  3.72
O: 0.693 0.757 0.641  -0.09
O: 0.311 0.704 0.040  -0.14
O: 0.689 0.296 0.960  -0.14
O: 0.243 0.307 0.859  -0.09
O: 0.757 0.693 0.141  -0.09
O: 0.704 0.311 0.540  -0.14
O: 0.890 0.110 0.250  -0.14
O: 0.296 0.689 0.460  -0.14
O: 0.110 0.890 0.750  -0.14
O: 0.307 0.243 0.359  -0.09
Np: 0.465 0.535 0.750  1.83
Np: 0.535 0.465 0.250  1.83

---

Record 2
KTc2Rh | PBE-GGA | optimized geometry

Properties
- SG: Cmmm (65)
- Total magnetic moment: 0.01 μB/f.u.
- Distance to the lowest polymorph of the same formula: 234 meV/atom
- E_form: 0.797 eV per atom

Cell: 2.697 2.697 9.906 Å, 90.00 90.00 90.69°
Fractional coordinates of all 4 atoms:
K: 0.500 0.500 0.250
Rh: 0.500 0.500 0.750
Tc: 0.000 0.000 0.947
Tc: 0.000 0.000 0.553

---

Record 3
CaIn4Hg7 | PBE-GGA | optimized geometry

Properties
- SG: C2/m (12)
- Total magnetic moment: 0.00 μB/f.u.
- Distance to the lowest polymorph of the same formula: 22 meV/atom
- E_form: -0.083 eV per atom

Cell: 6.205 8.869 7.249 Å, 71.46 64.66 69.52°
Fractional coordinates of all 12 atoms:
Hg: 0.998 0.339 0.665
Hg: 0.754 0.999 0.494
Hg: 0.500 0.000 0.000
Hg: 0.744 0.340 0.173
Hg: 0.002 0.661 0.335
Hg: 0.246 0.001 0.506
Hg: 0.256 0.660 0.827
In: 0.499 0.671 0.330
In: 0.501 0.329 0.670
In: 0.249 0.331 0.171
In: 0.751 0.669 0.829
Ca: 0.000 0.000 0.000